The following is a DFT calculation (PBEsol) of crystalline Ag3AsW at its relaxed geometry.

a b c (Å): 4.7608 4.7608 4.7608
angles (deg): 90.00 90.00 90.00
Site moments in Bohr magnetons follow the coordinates.
Atoms (fractional coordinates):
As 0.0000 0.0000 0.0000  0.08
Ag 0.0000 0.5000 0.0000  0.07
Ag 0.0000 0.0000 0.5000  0.07
Ag 0.5000 0.0000 0.0000  0.07
W 0.5000 0.5000 0.5000  3.14

Values from the calculation:
Crystal system: cubic
Formation enthalpy at 0 K: 1534 meV per atom
E: -4.235 eV per atom